Entry 1:
# PBE-GGA NiHgBPC, optimized geometry
# ΔE_f in eV/atom: 0.422
# Density in Mg/m³: 6.21
# Magnetization in μB/atom: 0.000
# E above lowest polymorph in meV/atom: 147
# Electronic total energy in eV per atom: -5.0569
# Density of states at the Fermi level in states/eV per cell: 1.52
data_NiHgBPC
_chemical_formula_sum 'Ni2 Hg2 B2 P2 C2'
_cell_length_a 9.340
_cell_length_b 2.954
_cell_length_c 6.596
_cell_angle_alpha 90.00
_cell_angle_beta 113.11
_cell_angle_gamma 90.00
_space_group_name_H-M_alt 'C 1 m 1'
_space_group_IT_number 8
_space_group_name_Hall 'C -2y'
loop_
_atom_site_label
_atom_site_fract_x
_atom_site_fract_y
_atom_site_fract_z
Ni1 0.000 0.000 0.000
Hg1 0.427 0.000 0.588
B1 0.119 0.500 0.933
P1 0.256 0.000 0.170
C1 0.300 0.500 0.036



Entry 2:
# PBE-GGA Cs2K7Na3, optimized geometry
# ΔE_f in eV/atom: 0.034
# Density in Mg/m³: 1.22
# Magnetization in μB/atom: 0.000
# Electronic total energy in eV per atom: -1.0786
# Density of states at the Fermi level in states/eV per cell: 16.49
data_Cs2K7Na3
_chemical_formula_sum 'Cs4 K14 Na6'
_cell_length_a 7.496
_cell_length_b 47.170
_cell_length_c 4.669
_cell_angle_alpha 90.00
_cell_angle_beta 90.00
_cell_angle_gamma 90.00
_space_group_name_H-M_alt 'C m m m'
_space_group_IT_number 65
_space_group_name_Hall '-C 2 2'
loop_
_atom_site_label
_atom_site_fract_x
_atom_site_fract_y
_atom_site_fract_z
Cs1 0.000 0.169 0.000
K1 0.000 0.000 0.000
K2 0.000 0.082 0.500
K3 0.000 0.276 0.000
K4 0.000 0.428 0.000
Na1 0.000 0.355 0.500
Na2 0.000 0.500 0.500



Entry 3:
# PBE-GGA CsKCl, optimized geometry
# Density in Mg/m³: 2.11
# Magnetization in μB/atom: 0.000
# E above lowest polymorph in meV/atom: 0
# Electronic total energy in eV per atom: -2.5395
# Density of states at the Fermi level in states/eV per cell: 2.60
data_CsKCl
_chemical_formula_sum 'Cs2 K2 Cl2'
_cell_length_a 5.033
_cell_length_b 5.033
_cell_length_c 12.898
_cell_angle_alpha 90.00
_cell_angle_beta 90.00
_cell_angle_gamma 90.00
_space_group_name_H-M_alt 'P 4/n m m'
_space_group_IT_number 129
loop_
_space_group_symop_operation_xyz
'x,y,z'
'-x,-y,-z'
'-y+1/2,x,z'
'y+1/2,-x,-z'
'-x+1/2,-y+1/2,z'
'x+1/2,y+1/2,-z'
'y,-x+1/2,z'
'-y,x+1/2,-z'
'x+1/2,-y,-z'
'-x+1/2,y,z'
'-y,-x,-z'
'y,x,z'
'-x,y+1/2,-z'
'x,-y+1/2,z'
'y+1/2,x+1/2,-z'
'-y+1/2,-x+1/2,z'
loop_
_atom_site_label
_atom_site_fract_x
_atom_site_fract_y
_atom_site_fract_z
Cs1 0.250 0.250 0.136
K1 0.250 0.250 0.611
Cl1 0.250 0.250 0.862



Entry 4:
# PBE-GGA Sr4Hg2Pb, optimized geometry
# ΔE_f in eV/atom: -0.448
# Density in Mg/m³: 6.07
# Magnetization in μB/atom: 0.000
# Electronic total energy in eV per atom: -2.0254
# Density of states at the Fermi level in states/eV per cell: 16.69
data_Sr4Hg2Pb
_chemical_formula_sum 'Sr12 Hg6 Pb3'
_cell_length_a 5.6880
_cell_length_b 5.6880
_cell_length_c 28.0654
_cell_angle_alpha 90.00
_cell_angle_beta 90.00
_cell_angle_gamma 120.00
_space_group_name_H-M_alt 'R -3 m'
_space_group_IT_number 166
_space_group_name_Hall '-R 3 2"'
loop_
_atom_site_label
_atom_site_fract_x
_atom_site_fract_y
_atom_site_fract_z
Sr1 0.0000 0.0000 0.1241
Sr2 0.0000 0.0000 0.3754
Hg1 0.0000 0.0000 0.2517
Pb1 0.0000 0.0000 0.5000



Entry 5:
# PBE-GGA La3CdMo, optimized geometry
# ΔE_f in eV/atom: 0.161
# Density in Mg/m³: 6.17
# Magnetization in μB/atom: 0.000
# E above lowest polymorph in meV/atom: 0
# Electronic total energy in eV per atom: -5.1445
# Density of states at the Fermi level in states/eV per cell: 6.67
data_La3CdMo
_chemical_formula_sum 'La3 Cd1 Mo1'
_cell_length_a 5.521
_cell_length_b 5.521
_cell_length_c 5.521
_cell_angle_alpha 90.00
_cell_angle_beta 90.00
_cell_angle_gamma 90.00
_space_group_name_H-M_alt 'P m -3 m'
_space_group_IT_number 221
_space_group_name_Hall '-P 4 2 3'
loop_
_atom_site_label
_atom_site_fract_x
_atom_site_fract_y
_atom_site_fract_z
La1 0.000 0.000 0.500
Cd1 0.500 0.500 0.500
Mo1 0.000 0.000 0.000



Entry 6:
# PBE-GGA InTcRh2, optimized geometry
# ΔE_f in eV/atom: -0.041
# Density in Mg/m³: 11.08
# Magnetization in μB/atom: 0.000
# Electronic total energy in eV per atom: -6.9931
# Density of states at the Fermi level in states/eV per cell: 8.91
data_InTcRh2
_chemical_formula_sum 'In2 Tc2 Rh4'
_cell_length_a 9.248
_cell_length_b 2.854
_cell_length_c 4.838
_cell_angle_alpha 90.00
_cell_angle_beta 100.54
_cell_angle_gamma 90.00
_space_group_name_H-M_alt 'C 1 m 1'
_space_group_IT_number 8
_space_group_name_Hall 'C -2y'
loop_
_atom_site_label
_atom_site_fract_x
_atom_site_fract_y
_atom_site_fract_z
In1 0.000 0.000 0.000
Tc1 0.260 0.500 0.316
Rh1 0.247 0.000 0.782
Rh2 0.499 0.000 0.494